[1]
This record from the Alexandria database describes an optimized crystal structure of K4La3DySe8. The functional is PBE.

The calculation puts the formation energy without anion corrections at -1.810 eV/atom. The calculation puts the total magnetic moment at 0.0 μB per formula unit. The value obtained for the calculated total energy is -241.82 eV per cell.

Cell: 8.7738 8.7738 23.0533 Å, 90.00 90.00 120.00°
Last column: nearest neighbours and their distance in Å.
Space group R-3m (No. 166, hexagonal axes)
One atom of each set of equivalent atoms:
K1 0.0000 0.0000 0.0000  6 Se 3.44
K2 0.0000 0.5000 0.0000  6 Se 3.35-3.36
La1 0.0000 0.5000 0.5000  6 Se 3.02-3.03
Dy1 0.0000 0.0000 0.5000  6 Se 2.93
Se1 0.0000 0.0000 0.2378  3 La 3.02, 3 K 3.36
Se2 0.0105 0.5052 0.2362  1 Dy 2.93, 2 La 3.03

***

[2]
This record from the Alexandria database describes an optimized crystal structure of ErSc2AlO. The functional is PBE.

The calculation puts the formation energy without anion corrections at -1.416 eV/atom. The calculation puts the total magnetic moment at 0.0 μB per formula unit. The value obtained for the calculated total energy is -33.00 eV per cell.

Cell: 4.4209 4.4209 4.6427 Å, 90.00 90.00 90.00°
Last column: nearest neighbours and their distance in Å.
Space group P4/mmm (No. 123)
One atom of each set of equivalent atoms:
Er1 0.0000 0.0000 0.0000  2 O 2.32
Sc1 0.0000 0.5000 0.5000  2 O 2.21
Al1 0.5000 0.5000 0.0000  4 Er 3.13, 8 Sc 3.21
O1 0.0000 0.0000 0.5000  4 Sc 2.21, 2 Er 2.32